An optimized crystal structure of ZrOs2Cl4, computed with PBE.

Summary:
Total magnetization = 1.15 μB/f.u.
Energy = -0.367 Ry/atom
Raw formation energy = 0.4949 eV per atom

```
ZrOs2Cl4
1.0
5.189 0.000 0.000
0.000 5.189 0.000
2.594 2.594 6.084
Cl Zr Os
4 1 2
direct
0.209 0.209 0.583
0.500 0.000 0.000
0.000 0.500 0.000
0.791 0.791 0.417
0.000 0.000 0.000
0.592 0.592 0.816
0.408 0.408 0.184
```